# Ac3LaSm4

A geometry-optimized Ac3LaSm4 structure (GGA-PBE, Alexandria via LeMat-Bulk).

```
Ac3LaSm4
1.0
10.813 0.000 0.000
0.000 7.512 0.000
0.000 0.000 7.511
Ac La Sm
6 2 8
Direct
0.000 0.001 0.000 Ac
0.250 0.255 0.250 Ac
0.250 0.745 0.750 Ac
0.500 0.999 0.500 Ac
0.750 0.255 0.250 Ac
0.750 0.745 0.750 Ac
0.000 0.499 0.501 La
0.500 0.501 0.001 La
0.000 0.000 0.500 Sm
0.000 0.500 0.000 Sm
0.249 0.750 0.250 Sm
0.251 0.250 0.750 Sm
0.500 0.000 0.000 Sm
0.500 0.500 0.500 Sm
0.749 0.250 0.750 Sm
0.751 0.750 0.250 Sm
```

Values from the calculation:
Final energy, eV/atom: -4.478
Total magnetization, μB per formula unit: 0.00
ΔH_f (0 K), meV/atom: 38.5